1.
## Sr2LaTl (PBE)

Data for crystalline Sr2LaTl at its relaxed geometry.

The theoretical density is 5.76 Mg/m³. The excess energy over the best structure of this formula in the dataset is 0.107 eV/atom. The formation energy from the elements is -0.055 eV/atom.

It has space group I-4m2 (No. 119), with a = 5.4200 Å, b = 5.4200 Å, c = 10.1862 Å, α = 90.00°, β = 90.00° and γ = 90.00°. Symmetry generates all atoms from Sr at (0.0000, 0.0000, 0.0000), Sr at (0.0000, 0.5000, 0.2500), La at (0.0000, 0.0000, 0.5000) and Tl at (0.0000, 0.5000, 0.7500).



2.
## Ta2MoCl (PBE)

Data for crystalline Ta2MoCl at its relaxed geometry.

The theoretical density is 11.71 Mg/m³. Its energy relative to the elements, uncorrected is 0.45 eV/atom. The excess energy over the best structure of this formula in the dataset is 0.374 eV/atom.

It has space group P2/m (No. 10), with a = 2.8644 Å, b = 4.4478 Å, c = 5.4916 Å, α = 90.00°, β = 91.41° and γ = 90.00°. Symmetry generates all atoms from Ta at (0.1496, 0.0000, 0.2392), Mo at (0.5000, 0.5000, 0.0000) and Cl at (0.0000, 0.5000, 0.5000).



3.
## CaSm2Er (PBE)

Data for crystalline CaSm2Er at its relaxed geometry.

The theoretical density is 6.13 Mg/m³. The excess energy over the best structure of this formula in the dataset is 0.000 eV/atom. The formation energy from the elements is 0.048 eV/atom.

It has space group R3m (No. 160, hexagonal axes), with a = 3.6219 Å, b = 3.6219 Å, c = 36.3532 Å, α = 90.00°, β = 90.00° and γ = 120.00°. Symmetry generates all atoms from Ca at (0.0000, 0.0000, 0.0000), Sm at (0.0000, 0.0000, 0.5777), Sm at (0.0000, 0.0000, 0.7552) and Er at (0.0000, 0.0000, 0.1663).



4.
## YEr8Sc2 (PBE)

Data for crystalline YEr8Sc2 at its relaxed geometry.

The theoretical density is 7.59 Mg/m³. The excess energy over the best structure of this formula in the dataset is 0.000 eV/atom. The formation energy from the elements is 0.128 eV/atom.

It has space group Immm (No. 71), with a = 5.3073 Å, b = 8.1480 Å, c = 15.3479 Å, α = 90.00°, β = 90.00° and γ = 90.00°. Symmetry generates all atoms from Y at (0.0000, 0.0000, 0.0000), Er at (0.0000, 0.1997, 0.5000), Er at (0.0000, 0.2955, 0.1431), Er at (0.0000, 0.5000, 0.3382) and Sc at (0.0000, 0.0000, 0.2980).



5.
## AcYTlO4 (PBE)

Data for crystalline AcYTlO4 at its relaxed geometry.

The theoretical density is 7.12 Mg/m³. Its energy relative to the elements, uncorrected is -2.48 eV/atom.

It has space group Imma (No. 74), with a = 6.9544 Å, b = 7.6897 Å, c = 10.1954 Å, α = 90.00°, β = 90.00° and γ = 90.00°. Symmetry generates all atoms from Ac at (0.0000, 0.0000, 0.0000), Y at (0.2500, 0.2500, 0.2500), Tl at (0.0000, 0.2500, 0.6253), O at (0.0000, 0.0531, 0.2403) and O at (0.2324, 0.2500, 0.0214).



6.
## KPr2SbO5 (PBE)

Data for crystalline KPr2SbO5 at its relaxed geometry.

The theoretical density is 5.67 Mg/m³. Its energy relative to the elements, uncorrected is -2.25 eV/atom.

It has space group P4/mbm (No. 127), with a = 6.9516 Å, b = 6.9516 Å, c = 6.3389 Å, α = 90.00°, β = 90.00° and γ = 90.00°. Symmetry generates all atoms from K at (0.0000, 0.0000, 0.0000), Pr at (0.1775, 0.3225, 0.5000), Sb at (0.0000, 0.5000, 0.0000), O at (0.0000, 0.0000, 0.5000) and O at (0.1401, 0.6401, 0.2605).



7.
## MoAuCl3 (PBE)

Data for crystalline MoAuCl3 at its relaxed geometry.

The theoretical density is 5.09 Mg/m³. Its energy relative to the elements, uncorrected is 0.58 eV/atom. The excess energy over the best structure of this formula in the dataset is 0.513 eV/atom.

It has space group Pm-3m (No. 221), with a = 5.0702 Å, b = 5.0702 Å, c = 5.0702 Å, α = 90.00°, β = 90.00° and γ = 90.00°. Symmetry generates all atoms from Mo at (0.0000, 0.0000, 0.0000), Au at (0.5000, 0.5000, 0.5000) and Cl at (0.0000, 0.5000, 0.5000).



8.
## Y3ZnAu (PBE)

Data for crystalline Y3ZnAu at its relaxed geometry.

The theoretical density is 5.22 Mg/m³. The excess energy over the best structure of this formula in the dataset is 0.546 eV/atom. The formation energy from the elements is 0.075 eV/atom.

It has space group Pm-3m (No. 221), with a = 5.5206 Å, b = 5.5206 Å, c = 5.5206 Å, α = 90.00°, β = 90.00° and γ = 90.00°. Symmetry generates all atoms from Y at (0.0000, 0.0000, 0.5000), Zn at (0.5000, 0.5000, 0.5000) and Au at (0.0000, 0.0000, 0.0000).



9.
## TbCePdPt (PBE)

Data for crystalline TbCePdPt at its relaxed geometry.

The theoretical density is 11.16 Mg/m³. The excess energy over the best structure of this formula in the dataset is 0.085 eV/atom. The formation energy from the elements is -0.908 eV/atom.

It has space group F-43m (No. 216), with a = 7.0964 Å, b = 7.0964 Å, c = 7.0964 Å, α = 90.00°, β = 90.00° and γ = 90.00°. Symmetry generates all atoms from Tb at (0.0000, 0.0000, 0.0000), Ce at (0.0000, 0.0000, 0.5000), Pd at (0.2500, 0.2500, 0.7500) and Pt at (0.2500, 0.2500, 0.2500).



10.
## BaNp2TaS8 (PBE)

Data for crystalline BaNp2TaS8 at its relaxed geometry.

The theoretical density is 5.51 Mg/m³. Its energy relative to the elements, uncorrected is -1.10 eV/atom.

It has space group P-1 (No. 2), with a = 5.9938 Å, b = 6.3437 Å, c = 8.3130 Å, α = 89.98°, β = 89.96° and γ = 88.99°. Symmetry generates all atoms from Ba at (0.0000, 0.0000, 0.0000), Np at (0.4999, 0.5000, 0.2566), Ta at (0.0000, 0.0000, 0.5000), S at (0.2391, 0.8347, 0.6981), S at (0.2396, 0.8353, 0.3017), S at (0.2645, 0.3213, 0.5002) and S at (0.2669, 0.4027, 0.0001).